(a)
The following is a PBE-GGA calculation of a relaxed La2DyI crystal, from Alexandria via LeMat-Bulk.

magnetization	0.0	μB/f.u.

Unit cell a=3.6866 b=3.6866 c=35.4931 alpha=90.00 beta=90.00 gamma=120.00
Space group R-3m (No. 166, hexagonal axes)
Unique sites:
La 0.0000 0.0000 0.0933 (multiplicity 6)
Dy 0.0000 0.0000 0.0000 (multiplicity 3)
I 0.0000 0.0000 0.5000 (multiplicity 3)

(b)
The following is a PBE-GGA calculation of a relaxed La2DyI crystal, from Alexandria via LeMat-Bulk.

magnetization	0.8	μB/f.u.

Unit cell a=3.8667 b=3.8667 c=32.7483 alpha=90.00 beta=90.00 gamma=120.00
Space group R3m (No. 160, hexagonal axes)
Unique sites:
La 0.0000 0.0000 0.0000 (multiplicity 3)
La 0.0000 0.0000 0.1745 (multiplicity 3)
Dy 0.0000 0.0000 0.7540 (multiplicity 3)
I 0.0000 0.0000 0.5876 (multiplicity 3)

Of them, (b) has the highest stability.

(a)
The following is a PBE-GGA calculation of a relaxed LaDyI2 crystal, from Alexandria via LeMat-Bulk.

magnetization	0.7	μB/f.u.

Unit cell a=3.8705 b=3.8705 c=32.8946 alpha=90.00 beta=90.00 gamma=120.00
Space group R-3m (No. 166, hexagonal axes)
Unique sites:
La 0.0000 0.0000 0.0000 (multiplicity 3)
Dy 0.0000 0.0000 0.5000 (multiplicity 3)
I 0.0000 0.0000 0.1003 (multiplicity 6)

(b)
The following is a PBE-GGA calculation of a relaxed LaDyI2 crystal, from Alexandria via LeMat-Bulk.

magnetization	0.0	μB/f.u.

Unit cell a=3.8968 b=3.8968 c=28.6899 alpha=90.00 beta=90.00 gamma=120.00
Space group R3m (No. 160, hexagonal axes)
Unique sites:
La 0.0000 0.0000 0.0000 (multiplicity 3)
Dy 0.0000 0.0000 0.1630 (multiplicity 3)
I 0.0000 0.0000 0.4185 (multiplicity 3)
I 0.0000 0.0000 0.5770 (multiplicity 3)

Of them, (b) has the highest stability.

(a)
The following is a PBE-GGA calculation of a relaxed LaDyI6 crystal, from Alexandria via LeMat-Bulk.

magnetization	0.0	μB/f.u.

Unit cell a=7.7712 b=7.7712 c=21.1565 alpha=90.00 beta=90.00 gamma=120.00
Space group R-3 (No. 148, hexagonal axes)
Unique sites:
La 0.0000 0.0000 0.0000 (multiplicity 3)
Dy 0.0000 0.0000 0.5000 (multiplicity 3)
I 0.0007 0.3230 0.5816 (multiplicity 18)

(b)
The following is a PBE-GGA calculation of a relaxed LaDyI6 crystal, from Alexandria via LeMat-Bulk.

magnetization	0.0	μB/f.u.

Unit cell a=7.6668 b=14.5677 c=7.6606 alpha=90.00 beta=107.63 gamma=90.00
Space group C2/m (No. 12)
Unique sites:
La 0.0000 0.0000 0.0000 (multiplicity 2)
Dy 0.0000 0.5000 0.5000 (multiplicity 2)
I 0.2372 0.3528 0.7404 (multiplicity 8)
I 0.2476 0.5000 0.2573 (multiplicity 4)

Of them, (b) has the highest stability.

(a)
The following is a PBE-GGA calculation of a relaxed Dy2LuI crystal, from Alexandria via LeMat-Bulk.

magnetization	0.0	μB/f.u.

Unit cell a=3.5673 b=3.5673 c=35.1294 alpha=90.00 beta=90.00 gamma=120.00
Space group R-3m (No. 166, hexagonal axes)
Unique sites:
Dy 0.0000 0.0000 0.0951 (multiplicity 6)
Lu 0.0000 0.0000 0.0000 (multiplicity 3)
I 0.0000 0.0000 0.5000 (multiplicity 3)

(b)
The following is a PBE-GGA calculation of a relaxed Dy2LuI crystal, from Alexandria via LeMat-Bulk.

magnetization	0.0	μB/f.u.

Unit cell a=3.6091 b=3.6091 c=9.3922 alpha=90.00 beta=90.00 gamma=90.00
Space group P4/mmm (No. 123)
Unique sites:
Dy 0.0000 0.0000 0.2472 (multiplicity 2)
Lu 0.5000 0.5000 0.5000 (multiplicity 1)
I 0.5000 0.5000 0.0000 (multiplicity 1)

Of them, (b) has the highest stability.